## KZn2As (PBE-GGA)

Data for crystalline KZn2As at its relaxed geometry.

Computed properties:
Energy of formation: 0.169 eV/atom
Mass density: 4.55 g/cm³
M_tot: 0.00 Bohr magnetons per cell
Raw total energy: -30.5 eV for the cell shown

a b c (Å): 7.0992 7.0992 7.0992
angles (deg): 90.00 90.00 90.00
With the nearest neighbours (Å) after each atom.
Space group F-43m (No. 216)
Symmetry-distinct sites (fractional):
K: 0.0000 0.0000 0.0000 x4  4 As 3.07, 4 Zn 3.07
Zn: 0.0000 0.0000 0.5000 x4  4 As 3.07, 4 Zn 3.07
Zn: 0.2500 0.2500 0.7500 x4  4 K 3.07, 4 Zn 3.07
As: 0.2500 0.2500 0.2500 x4  4 K 3.07, 4 Zn 3.07